No. 1
# Ca2La6Pr5

A relaxed structure of Ca2La6Pr5 (GGA-PBE, Alexandria via LeMat-Bulk).

Output
- crystal system = orthorhombic
- calculated volume (Å³/cell) = 975
- size of the total moment (μB per cell) = 0.00
- ΔH_f (0 K) (meV per atom) = 106

abc: 12.423 21.365 3.673
angles: 90.00 90.00 90.00
Positions (direct):
Ca  0.166  0.215  0.000
Ca  0.334  0.715  0.000
Ca  0.666  0.285  0.000
Ca  0.834  0.785  0.000
La  0.050  0.924  0.000
La  0.068  0.639  0.000
La  0.190  0.377  0.500
La  0.310  0.877  0.500
La  0.432  0.139  0.000
La  0.450  0.424  0.000
La  0.550  0.576  0.000
La  0.568  0.861  0.000
La  0.690  0.123  0.500
La  0.810  0.623  0.500
La  0.932  0.361  0.000
La  0.950  0.076  0.000
Pr  0.000  0.500  0.500
Pr  0.094  0.781  0.500
Pr  0.212  0.053  0.500
Pr  0.288  0.553  0.500
Pr  0.406  0.281  0.500
Pr  0.500  0.000  0.500
Pr  0.594  0.719  0.500
Pr  0.712  0.447  0.500
Pr  0.788  0.947  0.500
Pr  0.906  0.219  0.500

No. 2
# ZrV2TcNi

A relaxed structure of ZrV2TcNi (GGA-PBE, Alexandria via LeMat-Bulk).

Output
- crystal system = tetragonal
- calculated volume (Å³/cell) = 101
- size of the total moment (μB per cell) = 1.89
- ΔH_f (0 K) (meV per atom) = 1072

abc: 4.464 4.464 5.051
angles: 90.00 90.00 90.00
Positions (direct):
Zr  0.000  0.000  0.000
V  0.000  0.500  0.500
V  0.500  0.000  0.500
Tc  0.000  0.000  0.500
Ni  0.500  0.500  0.000

No. 3
# Th2TeH

A relaxed structure of Th2TeH (GGA-PBE, Alexandria via LeMat-Bulk).

Output
- energy above the most stable polymorph in this dataset (meV/atom) = 10
- crystal system = monoclinic
- calculated volume (Å³/cell) = 407
- size of the total moment (μB per cell) = 0.00

abc: 6.262 6.257 12.112
angles: 90.00 120.87 90.00
Positions (direct):
Th  0.061  0.245  0.069
Th  0.061  0.755  0.569
Th  0.310  0.259  0.822
Th  0.310  0.741  0.322
Th  0.690  0.259  0.678
Th  0.690  0.741  0.178
Th  0.939  0.245  0.431
Th  0.939  0.755  0.931
Te  0.382  0.243  0.373
Te  0.382  0.757  0.873
Te  0.618  0.243  0.127
Te  0.618  0.757  0.627
H  0.013  0.110  0.873
H  0.013  0.890  0.373
H  0.987  0.110  0.627
H  0.987  0.890  0.127

No. 4
# EuIn2Si

A relaxed structure of EuIn2Si (GGA-PBE, Alexandria via LeMat-Bulk).

Output
- crystal system = tetragonal
- formation energy (no corrections) (eV per atom) = -0.240
- calculated volume (Å³/cell) = 96
- size of the total moment (μB per cell) = 6.92

abc: 4.455 4.455 4.815
angles: 90.00 90.00 90.00
Positions (direct):
Eu  0.000  0.000  0.000
In  0.000  0.500  0.500
In  0.500  0.000  0.500
Si  0.500  0.500  0.000

No. 5
# ScCuRe2

A relaxed structure of ScCuRe2 (GGA-PBE, Alexandria via LeMat-Bulk).

Output
- energy above the most stable polymorph in this dataset (meV/atom) = 403
- crystal system = trigonal
- calculated volume (Å³/cell) = 187
- size of the total moment (μB per cell) = 0.00
- ΔH_f (0 K) (meV per atom) = 354

abc: 2.806 2.806 27.484
angles: 90.00 90.00 120.00
Positions (direct):
Sc  0.000  0.000  0.000
Sc  0.333  0.667  0.667
Sc  0.667  0.333  0.333
Cu  0.000  0.000  0.500
Cu  0.333  0.667  0.167
Cu  0.667  0.333  0.833
Re  0.000  0.000  0.245
Re  0.000  0.000  0.755
Re  0.333  0.667  0.422
Re  0.333  0.667  0.912
Re  0.667  0.333  0.088
Re  0.667  0.333  0.578

No. 6
# SiTeSe

A relaxed structure of SiTeSe (GGA-PBE, Alexandria via LeMat-Bulk).

Output
- energy above the most stable polymorph in this dataset (meV/atom) = 451
- crystal system = orthorhombic
- formation energy (no corrections) (eV per atom) = 0.283
- calculated volume (Å³/cell) = 383
- size of the total moment (μB per cell) = 0.05

abc: 3.612 8.640 12.274
angles: 90.00 90.00 90.00
Positions (direct):
Si  0.000  0.000  0.000
Si  0.000  0.500  0.500
Si  0.500  0.000  0.500
Si  0.500  0.500  0.000
Te  0.000  0.000  0.345
Te  0.000  0.500  0.845
Te  0.500  0.000  0.845
Te  0.500  0.500  0.345
Se  0.000  0.000  0.636
Se  0.000  0.500  0.136
Se  0.500  0.000  0.136
Se  0.500  0.500  0.636

No. 7
# MgBC

A relaxed structure of MgBC (GGA-PBE, Alexandria via LeMat-Bulk).

Output
- energy above the most stable polymorph in this dataset (meV/atom) = 270
- crystal system = triclinic
- calculated volume (Å³/cell) = 76
- size of the total moment (μB per cell) = 0.00
- ΔH_f (0 K) (meV per atom) = 288

abc: 3.540 4.366 5.413
angles: 97.22 90.06 113.77
Positions (direct):
Mg  0.000  0.000  0.000
Mg  0.282  0.569  0.610
B  0.579  0.160  0.678
B  0.618  0.237  0.391
C  0.672  0.345  0.158
C  0.711  0.422  0.915

No. 8
# Nd3HoO

A relaxed structure of Nd3HoO (GGA-PBE, Alexandria via LeMat-Bulk).

Output
- crystal system = cubic
- formation energy (no corrections) (eV per atom) = -1.100
- calculated volume (Å³/cell) = 132
- size of the total moment (μB per cell) = 0.00

abc: 5.092 5.092 5.092
angles: 90.00 90.00 90.00
Positions (direct):
Nd  0.000  0.000  0.500
Nd  0.000  0.500  0.000
Nd  0.500  0.000  0.000
Ho  0.500  0.500  0.500
O  0.000  0.000  0.000

No. 9
# Ba2Bi3PbAu4

A relaxed structure of Ba2Bi3PbAu4 (GGA-PBE, Alexandria via LeMat-Bulk).

Output
- crystal system = tetragonal
- calculated volume (Å³/cell) = 299
- size of the total moment (μB per cell) = 0.00
- ΔH_f (0 K) (meV per atom) = -507

abc: 5.060 5.060 11.686
angles: 90.00 90.00 90.00
Positions (direct):
Ba  0.000  0.500  0.233
Ba  0.500  0.000  0.767
Bi  0.000  0.500  0.875
Bi  0.500  0.000  0.125
Bi  0.500  0.500  0.500
Pb  0.000  0.000  0.500
Au  0.000  0.000  0.000
Au  0.000  0.500  0.634
Au  0.500  0.000  0.366
Au  0.500  0.500  0.000

No. 10
# Sc3TlF

A relaxed structure of Sc3TlF (GGA-PBE, Alexandria via LeMat-Bulk).

Output
- energy above the most stable polymorph in this dataset (meV/atom) = 1222
- crystal system = cubic
- formation energy (no corrections) (eV per atom) = 0.267
- calculated volume (Å³/cell) = 162
- size of the total moment (μB per cell) = 2.38

abc: 5.456 5.456 5.456
angles: 90.00 90.00 90.00
Positions (direct):
Sc  0.000  0.000  0.500
Sc  0.000  0.500  0.000
Sc  0.500  0.000  0.000
Tl  0.000  0.000  0.000
F  0.500  0.500  0.500

No. 11
# HoReIr

A relaxed structure of HoReIr (GGA-PBE, Alexandria via LeMat-Bulk).

Output
- crystal system = hexagonal
- calculated volume (Å³/cell) = 172
- size of the total moment (μB per cell) = 0.00
- ΔH_f (0 K) (meV per atom) = -296

abc: 6.635 6.635 4.509
angles: 90.00 90.00 120.00
Positions (direct):
Ho  0.000  0.579  0.000
Ho  0.421  0.421  0.000
Ho  0.579  0.000  0.000
Re  0.000  0.234  0.500
Re  0.234  0.000  0.500
Re  0.766  0.766  0.500
Ir  0.000  0.000  0.000
Ir  0.333  0.667  0.500
Ir  0.667  0.333  0.500

No. 12
# Pa2Ga4Sn

A relaxed structure of Pa2Ga4Sn (GGA-PBE, Alexandria via LeMat-Bulk).

Output
- crystal system = tetragonal
- calculated volume (Å³/cell) = 165
- size of the total moment (μB per cell) = 0.01
- ΔH_f (0 K) (meV per atom) = -25

abc: 4.308 4.308 8.873
angles: 90.00 90.00 90.00
Positions (direct):
Pa  0.000  0.500  0.241
Pa  0.500  0.000  0.759
Ga  0.000  0.000  0.000
Ga  0.000  0.500  0.763
Ga  0.500  0.000  0.237
Ga  0.500  0.500  0.000
Sn  0.000  0.000  0.500

No. 13
# Rb3Pa2HgTe6

A relaxed structure of Rb3Pa2HgTe6 (GGA-PBE, Alexandria via LeMat-Bulk).

Output
- crystal system = monoclinic
- formation energy (no corrections) (eV per atom) = -0.859
- calculated volume (Å³/cell) = 494
- size of the total moment (μB per cell) = 1.06

abc: 10.866 10.866 10.217
angles: 97.30 97.30 24.37
Positions (direct):
Rb  0.000  0.000  0.000
Rb  0.372  0.372  0.619
Rb  0.628  0.628  0.381
Pa  0.320  0.320  0.156
Pa  0.680  0.680  0.844
Hg  0.000  0.000  0.500
Te  0.174  0.174  0.055
Te  0.199  0.199  0.656
Te  0.455  0.455  0.238
Te  0.545  0.545  0.762
Te  0.801  0.801  0.344
Te  0.826  0.826  0.945

No. 14
# TlNiTe

A relaxed structure of TlNiTe (GGA-PBE, Alexandria via LeMat-Bulk).

Output
- crystal system = tetragonal
- formation energy (no corrections) (eV per atom) = 0.053
- calculated volume (Å³/cell) = 151
- size of the total moment (μB per cell) = 0.00

abc: 3.358 3.358 13.425
angles: 90.00 90.00 90.00
Positions (direct):
Tl  0.000  0.000  0.000
Tl  0.500  0.500  0.500
Ni  0.000  0.000  0.673
Ni  0.500  0.500  0.173
Te  0.000  0.000  0.251
Te  0.500  0.500  0.751

No. 15
# NaLaY2Rh

A relaxed structure of NaLaY2Rh (GGA-PBE, Alexandria via LeMat-Bulk).

Output
- crystal system = tetragonal
- calculated volume (Å³/cell) = 171
- size of the total moment (μB per cell) = 0.00
- ΔH_f (0 K) (meV per atom) = -221

abc: 5.522 5.522 5.596
angles: 90.00 90.00 90.00
Positions (direct):
Na  0.000  0.000  0.000
La  0.500  0.500  0.000
Y  0.000  0.500  0.500
Y  0.500  0.000  0.500
Rh  0.500  0.500  0.500

No. 16
# ZnCrCd

A relaxed structure of ZnCrCd (GGA-PBE, Alexandria via LeMat-Bulk).

Output
- energy above the most stable polymorph in this dataset (meV/atom) = 201
- crystal system = cubic
- calculated volume (Å³/cell) = 240
- size of the total moment (μB per cell) = 15.81
- ΔH_f (0 K) (meV per atom) = 492

abc: 6.216 6.216 6.216
angles: 90.00 90.00 90.00
Positions (direct):
Zn  0.000  0.000  0.000
Zn  0.000  0.500  0.500
Zn  0.500  0.000  0.500
Zn  0.500  0.500  0.000
Cr  0.250  0.250  0.750
Cr  0.250  0.750  0.250
Cr  0.750  0.250  0.250
Cr  0.750  0.750  0.750
Cd  0.250  0.250  0.250
Cd  0.250  0.750  0.750
Cd  0.750  0.250  0.750
Cd  0.750  0.750  0.250

No. 17
# Fe2HIrRu

A relaxed structure of Fe2HIrRu (GGA-PBE, Alexandria via LeMat-Bulk).

Output
- energy above the most stable polymorph in this dataset (meV/atom) = 51
- crystal system = tetragonal
- calculated volume (Å³/cell) = 54
- size of the total moment (μB per cell) = 3.89

abc: 3.800 3.800 3.716
angles: 90.00 90.00 90.00
Positions (direct):
Fe  0.000  0.500  0.000
Fe  0.500  0.000  0.000
H  0.000  0.000  0.000
Ir  0.000  0.000  0.500
Ru  0.500  0.500  0.500

No. 18
# Cs3Zn2Br8

A relaxed structure of Cs3Zn2Br8 (GGA-PBE, Alexandria via LeMat-Bulk).

Output
- crystal system = trigonal
- formation energy (no corrections) (eV per atom) = -1.226
- calculated volume (Å³/cell) = 517
- size of the total moment (μB per cell) = 0.00

abc: 11.248 11.248 11.248
angles: 39.43 39.43 39.43
Positions (direct):
Cs  0.000  0.000  0.000
Cs  0.209  0.209  0.209
Cs  0.791  0.791  0.791
Zn  0.405  0.405  0.405
Zn  0.595  0.595  0.595
Br  0.222  0.735  0.735
Br  0.265  0.265  0.778
Br  0.265  0.778  0.265
Br  0.328  0.328  0.328
Br  0.672  0.672  0.672
Br  0.735  0.222  0.735
Br  0.735  0.735  0.222
Br  0.778  0.265  0.265

No. 19
# CsBa2SnI8

A relaxed structure of CsBa2SnI8 (GGA-PBE, Alexandria via LeMat-Bulk).

Output
- crystal system = triclinic
- formation energy (no corrections) (eV per atom) = -1.203
- calculated volume (Å³/cell) = 648
- size of the total moment (μB per cell) = 0.00

abc: 7.775 7.788 10.693
angles: 90.06 90.08 90.19
Positions (direct):
Cs  0.000  0.000  0.000
Ba  0.499  0.500  0.746
Ba  0.501  0.500  0.254
Sn  0.000  0.000  0.500
I  0.228  0.334  0.499
I  0.236  0.859  0.298
I  0.237  0.861  0.702
I  0.254  0.400  0.000
I  0.746  0.600  0.000
I  0.763  0.139  0.298
I  0.764  0.141  0.702
I  0.772  0.666  0.501

No. 20
# Ac2SbPd6Pb

A relaxed structure of Ac2SbPd6Pb (GGA-PBE, Alexandria via LeMat-Bulk).

Output
- crystal system = monoclinic
- formation energy (no corrections) (eV per atom) = -0.627
- calculated volume (Å³/cell) = 235
- size of the total moment (μB per cell) = 0.00

abc: 6.915 6.915 9.052
angles: 128.89 128.89 48.41
Positions (direct):
Ac  0.248  0.248  0.275
Ac  0.752  0.752  0.725
Sb  0.500  0.500  0.000
Pd  0.242  0.739  0.744
Pd  0.250  0.250  0.920
Pd  0.261  0.758  0.256
Pd  0.739  0.242  0.744
Pd  0.750  0.750  0.080
Pd  0.758  0.261  0.256
Pb  0.000  0.000  0.500

No. 21
# TbB2Ru

A relaxed structure of TbB2Ru (GGA-PBE, Alexandria via LeMat-Bulk).

Output
- energy above the most stable polymorph in this dataset (meV/atom) = 235
- crystal system = orthorhombic
- calculated volume (Å³/cell) = 201
- size of the total moment (μB per cell) = 0.00
- ΔH_f (0 K) (meV per atom) = -354

abc: 3.363 11.592 5.160
angles: 90.00 90.00 90.00
Positions (direct):
Tb  0.000  0.223  0.250
Tb  0.000  0.777  0.750
Tb  0.500  0.277  0.750
Tb  0.500  0.723  0.250
B  0.000  0.431  0.576
B  0.000  0.431  0.924
B  0.000  0.569  0.076
B  0.000  0.569  0.424
B  0.500  0.069  0.076
B  0.500  0.069  0.424
B  0.500  0.931  0.576
B  0.500  0.931  0.924
Ru  0.000  0.046  0.750
Ru  0.000  0.954  0.250
Ru  0.500  0.454  0.250
Ru  0.500  0.546  0.750

No. 22
# NaSiH4

A relaxed structure of NaSiH4 (GGA-PBE, Alexandria via LeMat-Bulk).

Output
- energy above the most stable polymorph in this dataset (meV/atom) = 0
- crystal system = monoclinic
- calculated volume (Å³/cell) = 130
- size of the total moment (μB per cell) = 0.00

abc: 5.597 5.597 5.827
angles: 115.44 115.44 54.12
Positions (direct):
Na  0.000  0.500  0.000
Na  0.500  0.000  0.500
Si  0.154  0.846  0.750
Si  0.846  0.154  0.250
H  0.000  0.208  0.565
H  0.000  0.792  0.435
H  0.208  0.000  0.065
H  0.250  0.545  0.792
H  0.455  0.750  0.708
H  0.545  0.250  0.292
H  0.750  0.455  0.208
H  0.792  0.000  0.935

No. 23
# Ca2MgTlHg4

A relaxed structure of Ca2MgTlHg4 (GGA-PBE, Alexandria via LeMat-Bulk).

Output
- crystal system = trigonal
- calculated volume (Å³/cell) = 202
- size of the total moment (μB per cell) = 0.00
- ΔH_f (0 K) (meV per atom) = -385

abc: 9.081 9.081 9.081
angles: 33.36 33.36 33.36
Positions (direct):
Ca  0.247  0.247  0.247
Ca  0.753  0.753  0.753
Mg  0.000  0.000  0.000
Tl  0.500  0.500  0.500
Hg  0.118  0.118  0.118
Hg  0.368  0.368  0.368
Hg  0.632  0.632  0.632
Hg  0.882  0.882  0.882

No. 24
# Li4Os

A relaxed structure of Li4Os (GGA-PBE, Alexandria via LeMat-Bulk).

Output
- energy above the most stable polymorph in this dataset (meV/atom) = 0
- crystal system = cubic
- calculated volume (Å³/cell) = 202
- size of the total moment (μB per cell) = 1.80
- ΔH_f (0 K) (meV per atom) = 751

abc: 5.871 5.871 5.871
angles: 90.00 90.00 90.00
Positions (direct):
Li  0.250  0.250  0.250
Li  0.250  0.250  0.750
Li  0.250  0.750  0.250
Li  0.250  0.750  0.750
Li  0.750  0.250  0.250
Li  0.750  0.250  0.750
Li  0.750  0.750  0.250
Li  0.750  0.750  0.750
Os  0.000  0.000  0.000
Os  0.500  0.500  0.500